# PBE Mn2InPd5, optimized geometry
data_Mn2InPd5
_chemical_formula_sum 'Mn4 In2 Pd10'
_space_group_name_H-M_alt 'P b a m'
_space_group_IT_number 55
_space_group_name_Hall '-P 2 2ab'
_cell_length_a 5.565
_cell_length_b 11.017
_cell_length_c 4.111
_cell_angle_alpha 90.00
_cell_angle_beta 90.00
_cell_angle_gamma 90.00
loop_
_atom_site_label
_atom_site_fract_x
_atom_site_fract_y
_atom_site_fract_z
_atom_site_occupancy
Mn1 0.202 0.137 0.000 1
In1 0.000 0.500 0.500 1
Pd1 0.000 0.000 0.500 1
Pd2 0.047 0.748 0.500 1
Pd3 0.218 0.381 0.000 1
# Crystal system = orthorhombic
# VASP energy = -0.459 Ry per atom


# PBE Mg3Cd, optimized geometry
data_Mg3Cd
_chemical_formula_sum 'Mg6 Cd2'
_space_group_name_H-M_alt 'C 1 2/m 1'
_space_group_IT_number 12
_space_group_name_Hall '-C 2y'
_cell_length_a 10.452
_cell_length_b 3.282
_cell_length_c 5.399
_cell_angle_alpha 90.00
_cell_angle_beta 104.93
_cell_angle_gamma 90.00
loop_
_atom_site_label
_atom_site_fract_x
_atom_site_fract_y
_atom_site_fract_z
_atom_site_occupancy
Mg1 0.000 0.000 0.000 1
Mg2 0.245 0.000 0.747 1
Cd1 0.000 0.500 0.500 1
# Crystal system = monoclinic
# VASP energy = -0.108 Ry per atom


# PBE Co2Sn2Hg, optimized geometry
data_Co2Sn2Hg
_chemical_formula_sum 'Co4 Sn4 Hg2'
_space_group_name_H-M_alt 'I 4/m m m'
_space_group_IT_number 139
_space_group_name_Hall '-I 4 2'
_cell_length_a 4.176
_cell_length_b 4.176
_cell_length_c 10.872
_cell_angle_alpha 90.00
_cell_angle_beta 90.00
_cell_angle_gamma 90.00
loop_
_atom_site_label
_atom_site_fract_x
_atom_site_fract_y
_atom_site_fract_z
_atom_site_occupancy
Co1 0.000 0.000 0.106 1
Sn1 0.000 0.500 0.250 1
Hg1 0.000 0.000 0.500 1
# Crystal system = tetragonal
# ΔE to the lowest computed polymorph = 239 meV per atom


# PBE Pb3Se, optimized geometry
data_Pb3Se
_chemical_formula_sum 'Pb6 Se2'
_space_group_name_H-M_alt 'I m m m'
_space_group_IT_number 71
_space_group_name_Hall '-I 2 2'
_cell_length_a 3.843
_cell_length_b 5.462
_cell_length_c 11.178
_cell_angle_alpha 90.00
_cell_angle_beta 90.00
_cell_angle_gamma 90.00
loop_
_atom_site_label
_atom_site_fract_x
_atom_site_fract_y
_atom_site_fract_z
_atom_site_occupancy
Pb1 0.000 0.000 0.000 1
Pb2 0.000 0.500 0.221 1
Se1 0.000 0.000 0.500 1
# Crystal system = orthorhombic
# VASP energy = -0.277 Ry per atom